First-principles (GGA-PBE) data for Ba4TlW after structural relaxation, as listed in Alexandria via LeMat-Bulk.

```
data_Ba4TlW
_cell_length_a 10.059
_cell_length_b 10.059
_cell_length_c 10.059
_cell_angle_alpha 90.00
_cell_angle_beta 90.00
_cell_angle_gamma 90.00
_space_group_name_H-M_alt 'F -4 3 m'
_space_group_IT_number 216
_space_group_name_Hall 'F -4 2 3'
loop_
_atom_site_label
_atom_site_type_symbol
_atom_site_fract_x
_atom_site_fract_y
_atom_site_fract_z
Ba1 Ba 0.125 0.125 0.125
Tl1 Tl 0.250 0.250 0.750
W1 W 0.000 0.000 0.500
```

DFT total energy, eV per cell: -64.3
E_form, meV/atom: 1154
Total magnetic moment, μB per cell: 13.160